(1)
DFT (PBE-GGA) results for a relaxed Be2ZnIn crystal.

E above lowest polymorph (meV/atom): 124.3

Structure (POSCAR):
```
Be2ZnIn
1.0
-0.477 3.595 -1.474
-3.797 -0.117 0.943
0.789 1.483 3.362
Be In Zn
2 1 1
Direct
0.000 0.000 0.000 Be
0.500 0.500 0.000 Be
0.500 0.000 0.500 In
0.000 0.500 0.500 Zn
```

(2)
DFT (PBE-GGA) results for a relaxed BeZn2In crystal.

E above lowest polymorph (meV/atom): 88.5

Structure (POSCAR):
```
BeZn2In
1.0
4.683 0.006 0.000
-1.946 4.259 0.000
0.000 0.000 3.349
In Zn Be
1 2 1
Direct
0.000 0.500 0.500 In
0.500 0.500 0.000 Zn
0.000 0.000 0.000 Zn
0.500 0.000 0.500 Be
```